1.
Compound: ErMnO3
Source: Alexandria
Functional: PBE with a Hubbard U
Structure: relaxed

## Properties
The value obtained for the uncorrected energy is -7.99 eV/atom.

a b c (Å): 5.823 3.744 6.055
angles (deg): 90.00 103.51 90.00
Space group P2_1/m (No. 11)
Unique sites:
Er 0.044 0.250 0.254 (multiplicity 2)
Mn 0.492 0.250 0.719 (multiplicity 2)
O 0.153 0.250 0.644 (multiplicity 2)
O 0.186 0.750 0.102 (multiplicity 2)
O 0.465 0.250 0.331 (multiplicity 2)

2.
Compound: Er4Mn6O19
Source: Alexandria
Functional: PBE with a Hubbard U
Structure: relaxed

## Properties
The value obtained for the uncorrected energy is -7.45 eV/atom.

a b c (Å): 8.540 8.540 8.540
angles (deg): 90.00 90.00 90.00
Space group I23 (No. 197)
Unique sites:
Er 0.162 0.162 0.162 (multiplicity 8)
Mn 0.000 0.163 0.500 (multiplicity 12)
O 0.000 0.000 0.000 (multiplicity 2)
O 0.000 0.000 0.346 (multiplicity 12)
O 0.047 0.284 0.683 (multiplicity 24)

3.
Compound: ErMn2O6
Source: Alexandria
Functional: PBE with a Hubbard U
Structure: relaxed

## Properties
The value obtained for the uncorrected energy is -7.35 eV/atom.

a b c (Å): 5.0033 5.0033 4.8094
angles (deg): 90.00 90.00 120.00
Space group P-31m (No. 162)
Unique sites:
Er 0.0000 0.0000 0.0000 (multiplicity 1)
Mn 0.3333 0.6667 0.5000 (multiplicity 2)
O 0.0000 0.3628 0.7190 (multiplicity 6)

- What is the uncorrected energy in the first record?
  -7.99 eV/atom

- uncorrected energy of number 3 (ErMn2O6)?
  -7.35 eV/atom

- The lowest uncorrected energy belongs to which entry?
  ErMnO3